Record 1
# Ce2Pd6Au GGA-PBE optimized geometry
data_Ce2Pd6Au
_chemical_formula_sum 'Ce2 Pd6 Au1'
_symmetry_space_group_name_H-M 'P 1'
_symmetry_Int_Tables_number 1
_symmetry_space_group_name_Hall 'P 1'
_cell_length_a 5.6681
_cell_length_b 4.1750
_cell_length_c 7.4769
_cell_angle_alpha 90.00
_cell_angle_beta 98.82
_cell_angle_gamma 90.00
loop_
_atom_site_label
_atom_site_type_symbol
_atom_site_fract_x
_atom_site_fract_y
_atom_site_fract_z
Ce1 Ce 0.0000 0.0000 0.0000
Ce2 Ce 0.3862 0.0000 0.5019
Pd1 Pd 0.1985 0.5000 0.7474
Pd2 Pd 0.3492 0.5000 0.1315
Pd3 Pd 0.4747 0.0000 0.9001
Pd4 Pd 0.6601 0.0000 0.2528
Pd5 Pd 0.7012 0.5000 0.7563
Pd6 Pd 0.9144 0.0000 0.5967
Au1 Au 0.9877 0.5000 0.3521
# Energy above the most stable polymorph in this dataset ... 0.035 eV/atom
# Crystal system ... monoclinic
# Total DFT energy (no corrections) ... -51.44 eV for the cell shown

Record 2
# AcPrGa GGA-PBE optimized geometry
data_AcPrGa
_chemical_formula_sum 'Ac1 Pr1 Ga1'
_symmetry_space_group_name_H-M 'P 1'
_symmetry_Int_Tables_number 1
_symmetry_space_group_name_Hall 'P 1'
_cell_length_a 5.1553
_cell_length_b 5.1553
_cell_length_c 4.2014
_cell_angle_alpha 90.00
_cell_angle_beta 90.00
_cell_angle_gamma 120.00
loop_
_atom_site_label
_atom_site_type_symbol
_atom_site_fract_x
_atom_site_fract_y
_atom_site_fract_z
Ac1 Ac 0.0000 0.0000 0.0000
Pr1 Pr 0.6667 0.3333 0.5557
Ga1 Ga 0.3333 0.6667 0.3808
# Energy above the most stable polymorph in this dataset ... 0.121 eV/atom
# Crystal system ... trigonal
# Total DFT energy (no corrections) ... -12.57 eV for the cell shown

Record 3
# AlCuTc2 GGA-PBE optimized geometry
data_AlCuTc2
_chemical_formula_sum 'Al2 Cu2 Tc4'
_symmetry_space_group_name_H-M 'P 1'
_symmetry_Int_Tables_number 1
_symmetry_space_group_name_Hall 'P 1'
_cell_length_a 5.1343
_cell_length_b 7.9622
_cell_length_c 2.7396
_cell_angle_alpha 90.00
_cell_angle_beta 90.00
_cell_angle_gamma 90.00
loop_
_atom_site_label
_atom_site_type_symbol
_atom_site_fract_x
_atom_site_fract_y
_atom_site_fract_z
Al1 Al 0.0000 0.0000 0.0000
Al2 Al 0.5000 0.5000 0.0000
Cu1 Cu 0.0000 0.5000 0.0000
Cu2 Cu 0.5000 0.0000 0.0000
Tc1 Tc 0.2500 0.2500 0.5000
Tc2 Tc 0.2500 0.7500 0.5000
Tc3 Tc 0.7500 0.2500 0.5000
Tc4 Tc 0.7500 0.7500 0.5000
# Crystal system ... orthorhombic
# Total DFT energy (no corrections) ... -56.77 eV for the cell shown

Record 4
# BaLi2SbPd GGA-PBE optimized geometry
data_BaLi2SbPd
_chemical_formula_sum 'Ba1 Li2 Sb1 Pd1'
_symmetry_space_group_name_H-M 'P 1'
_symmetry_Int_Tables_number 1
_symmetry_space_group_name_Hall 'P 1'
_cell_length_a 5.0688
_cell_length_b 5.0688
_cell_length_c 5.1691
_cell_angle_alpha 90.00
_cell_angle_beta 90.00
_cell_angle_gamma 90.00
loop_
_atom_site_label
_atom_site_type_symbol
_atom_site_fract_x
_atom_site_fract_y
_atom_site_fract_z
Ba1 Ba 0.0000 0.0000 0.0000
Li1 Li 0.0000 0.5000 0.5000
Li2 Li 0.5000 0.0000 0.5000
Sb1 Sb 0.5000 0.5000 0.0000
Pd1 Pd 0.5000 0.5000 0.5000
# Crystal system ... tetragonal
# Total DFT energy (no corrections) ... -17.60 eV for the cell shown

Record 5
# Cs2I6NO GGA-PBE optimized geometry
data_Cs2I6NO
_chemical_formula_sum 'Cs2 I6 N1 O1'
_symmetry_space_group_name_H-M 'P 1'
_symmetry_Int_Tables_number 1
_symmetry_space_group_name_Hall 'P 1'
_cell_length_a 7.8650
_cell_length_b 7.8650
_cell_length_c 7.8650
_cell_angle_alpha 109.92
_cell_angle_beta 109.92
_cell_angle_gamma 108.58
loop_
_atom_site_label
_atom_site_type_symbol
_atom_site_fract_x
_atom_site_fract_y
_atom_site_fract_z
Cs1 Cs 0.2500 0.7500 0.5000
Cs2 Cs 0.7500 0.2500 0.5000
I1 I 0.2220 0.2220 0.0000
I2 I 0.2965 0.2965 0.5930
I3 I 0.2965 0.7035 0.0000
I4 I 0.7035 0.2965 0.0000
I5 I 0.7035 0.7035 0.4070
I6 I 0.7780 0.7780 0.0000
N1 N 0.5000 0.5000 0.0000
O1 O 0.0000 0.0000 0.0000
# Crystal system ... tetragonal
# Total DFT energy (no corrections) ... -25.38 eV for the cell shown

Record 6
# ZnTe3N GGA-PBE optimized geometry
data_ZnTe3N
_chemical_formula_sum 'Zn1 Te3 N1'
_symmetry_space_group_name_H-M 'P 1'
_symmetry_Int_Tables_number 1
_symmetry_space_group_name_Hall 'P 1'
_cell_length_a 4.7789
_cell_length_b 4.7789
_cell_length_c 4.7789
_cell_angle_alpha 90.00
_cell_angle_beta 90.00
_cell_angle_gamma 90.00
loop_
_atom_site_label
_atom_site_type_symbol
_atom_site_fract_x
_atom_site_fract_y
_atom_site_fract_z
Zn1 Zn 0.0000 0.0000 0.0000
Te1 Te 0.0000 0.5000 0.5000
Te2 Te 0.5000 0.0000 0.5000
Te3 Te 0.5000 0.5000 0.0000
N1 N 0.5000 0.5000 0.5000
# Energy above the most stable polymorph in this dataset ... 0.000 eV/atom
# Crystal system ... cubic
# Total DFT energy (no corrections) ... -15.36 eV for the cell shown

Record 7
# LaPr4Hg GGA-PBE optimized geometry
data_LaPr4Hg
_chemical_formula_sum 'La2 Pr8 Hg2'
_symmetry_space_group_name_H-M 'P 1'
_symmetry_Int_Tables_number 1
_symmetry_space_group_name_Hall 'P 1'
_cell_length_a 8.5049
_cell_length_b 8.5049
_cell_length_c 6.6287
_cell_angle_alpha 100.35
_cell_angle_beta 100.35
_cell_angle_gamma 114.71
loop_
_atom_site_label
_atom_site_type_symbol
_atom_site_fract_x
_atom_site_fract_y
_atom_site_fract_z
La1 La 0.0905 0.9095 0.7500
La2 La 0.9095 0.0905 0.2500
Pr1 Pr 0.1039 0.3352 0.8729
Pr2 Pr 0.2145 0.5892 0.4516
Pr3 Pr 0.3352 0.1039 0.3729
Pr4 Pr 0.4108 0.7855 0.0484
Pr5 Pr 0.5892 0.2145 0.9516
Pr6 Pr 0.6648 0.8961 0.6271
Pr7 Pr 0.7855 0.4108 0.5484
Pr8 Pr 0.8961 0.6648 0.1271
Hg1 Hg 0.4985 0.5015 0.7500
Hg2 Hg 0.5015 0.4985 0.2500
# Energy above the most stable polymorph in this dataset ... 0.080 eV/atom
# Crystal system ... monoclinic
# Total DFT energy (no corrections) ... -49.55 eV for the cell shown

Record 8
# Sc4ZnCu3 GGA-PBE optimized geometry
data_Sc4ZnCu3
_chemical_formula_sum 'Sc4 Zn1 Cu3'
_symmetry_space_group_name_H-M 'P 1'
_symmetry_Int_Tables_number 1
_symmetry_space_group_name_Hall 'P 1'
_cell_length_a 3.2761
_cell_length_b 4.6504
_cell_length_c 9.2850
_cell_angle_alpha 90.00
_cell_angle_beta 90.00
_cell_angle_gamma 90.00
loop_
_atom_site_label
_atom_site_type_symbol
_atom_site_fract_x
_atom_site_fract_y
_atom_site_fract_z
Sc1 Sc 0.0000 0.0000 0.0000
Sc2 Sc 0.0000 0.0000 0.5000
Sc3 Sc 0.0000 0.5000 0.2446
Sc4 Sc 0.0000 0.5000 0.7554
Zn1 Zn 0.5000 0.5000 0.5000
Cu1 Cu 0.5000 0.0000 0.2524
Cu2 Cu 0.5000 0.0000 0.7476
Cu3 Cu 0.5000 0.5000 0.0000
# Crystal system ... orthorhombic
# Total DFT energy (no corrections) ... -41.25 eV for the cell shown

What are the magnetic moment values for these records? In order: 0.83; 0.00; 0.00; 0.58; 1.00; 0.00; 0.00; 0.00 μB/f.u..